[1]
Entry from Alexandria via LeMat-Bulk: crystalline SrZr2Sc at its relaxed geometry (PBE).

Values from the calculation:
energy of formation from the pure elements = 0.607 eV/atom
ΔE to the lowest computed polymorph = 141 kJ/mol of formula units
SG = No. 225
M_tot = 1.095 Bohr magnetons per cell
energy = -5.67 eV/atom
volume = 27.3 Å³ per atom

Structure (POSCAR):
```
SrZr2Sc
1.0
2.2591 -4.3519 2.1823
-2.8470 -4.5178 0.5375
1.1251 -4.2613 -3.0627
Zr Sr Sc
2 1 1
direct
0.7500 0.7500 0.7500
0.2500 0.2500 0.2500
0.5000 0.5000 0.5000
0.0000 0.0000 0.0000
```

***

[2]
Entry from Alexandria via LeMat-Bulk: crystalline SrZrSc2 at its relaxed geometry (PBE).

Values from the calculation:
energy of formation from the pure elements = 0.473 eV/atom
ΔE to the lowest computed polymorph = 109 kJ/mol of formula units
SG = No. 216
M_tot = 2.376 Bohr magnetons per cell
energy = -5.25 eV/atom
volume = 28.3 Å³ per atom

Structure (POSCAR):
```
SrZrSc2
1.0
5.4278 0.0000 0.0000
2.7139 4.7006 0.0000
2.7139 1.5669 4.4318
Sc Zr Sr
2 1 1
direct
0.0000 0.0000 0.0000
0.2500 0.2500 0.2500
0.7500 0.7500 0.7500
0.5000 0.5000 0.5000
```

***

[3]
Entry from Alexandria via LeMat-Bulk: crystalline SrZrSc2 at its relaxed geometry (PBE).

Values from the calculation:
energy of formation from the pure elements = 0.191 eV/atom
ΔE to the lowest computed polymorph = 0 kJ/mol of formula units
SG = No. 65
M_tot = 0.001 Bohr magnetons per cell
energy = -5.53 eV/atom
volume = 28.9 Å³ per atom

Structure (POSCAR):
```
SrZrSc2
1.0
3.3936 0.0235 0.0000
-0.0327 3.3935 0.0000
0.0000 0.0000 10.0535
Sr Sc Zr
1 2 1
direct
0.5000 0.5000 0.2500
0.0000 0.0000 0.9539
0.0000 0.0000 0.5461
0.5000 0.5000 0.7500
```

***

[4]
Entry from Alexandria via LeMat-Bulk: crystalline SrZrSc2 at its relaxed geometry (PBE).

Values from the calculation:
energy of formation from the pure elements = 0.375 eV/atom
ΔE to the lowest computed polymorph = 71 kJ/mol of formula units
SG = No. 139
M_tot = 0.000 Bohr magnetons per cell
energy = -5.35 eV/atom
volume = 27.7 Å³ per atom

Structure (POSCAR):
```
SrZrSc2
1.0
5.7032 -0.0404 0.0000
1.4178 5.5244 0.0000
-3.5605 -2.7420 3.5118
Sc Sr Zr
2 1 1
direct
0.5000 0.5000 0.0000
0.0000 0.0000 0.0000
0.2500 0.7500 0.5000
0.7500 0.2500 0.5000
```

***

[5]
Entry from Alexandria via LeMat-Bulk: crystalline SrZrSc3 at its relaxed geometry (PBE).

Values from the calculation:
energy of formation from the pure elements = 0.501 eV/atom
ΔE to the lowest computed polymorph = 0 kJ/mol of formula units
SG = No. 221
M_tot = 0.073 Bohr magnetons per cell
energy = -5.34 eV/atom
volume = 31.4 Å³ per atom

Structure (POSCAR):
```
SrZrSc3
1.0
5.3933 0.0000 0.0000
0.0000 5.3933 0.0000
0.0000 0.0000 5.3933
Sr Zr Sc
1 1 3
direct
0.5000 0.5000 0.5000
0.0000 0.0000 0.0000
0.0000 0.5000 0.0000
0.0000 0.0000 0.5000
0.5000 0.0000 0.0000
```

***

[6]
Entry from Alexandria via LeMat-Bulk: crystalline SrZrSc2 at its relaxed geometry (PBE).

Values from the calculation:
energy of formation from the pure elements = 0.262 eV/atom
ΔE to the lowest computed polymorph = 27 kJ/mol of formula units
SG = No. 25
M_tot = 0.000 Bohr magnetons per cell
energy = -5.46 eV/atom
volume = 29.6 Å³ per atom

Structure (POSCAR):
```
SrZrSc2
1.0
3.4579 0.0000 0.0000
0.0000 4.2274 0.0000
0.0000 0.0000 8.1030
Sr Zr Sc
1 1 2
direct
0.0000 0.0000 0.5134
0.5000 0.5000 0.8129
0.5000 0.5000 0.1884
0.0000 0.0000 0.9853
```

***

[7]
Entry from Alexandria via LeMat-Bulk: crystalline SrZr2Sc at its relaxed geometry (PBE).

Values from the calculation:
energy of formation from the pure elements = 0.364 eV/atom
ΔE to the lowest computed polymorph = 47 kJ/mol of formula units
SG = No. 10
M_tot = 0.000 Bohr magnetons per cell
energy = -5.91 eV/atom
volume = 28.9 Å³ per atom

Structure (POSCAR):
```
SrZr2Sc
1.0
-2.4284 0.2249 4.6017
-2.8585 -0.4009 -1.4889
-0.6601 -6.9578 -0.0083
Zr Sc Sr
2 1 1
direct
0.0000 0.0391 0.0646
0.0000 0.4609 0.4354
0.5000 0.2500 0.2500
0.5000 0.7500 0.7500
```

***

[8]
Entry from Alexandria via LeMat-Bulk: crystalline SrZr2Sc at its relaxed geometry (PBE).

Values from the calculation:
energy of formation from the pure elements = 0.756 eV/atom
ΔE to the lowest computed polymorph = 199 kJ/mol of formula units
SG = No. 122
M_tot = 0.000 Bohr magnetons per cell
energy = -5.52 eV/atom
volume = 27.7 Å³ per atom

Structure (POSCAR):
```
SrZr2Sc
1.0
4.4360 0.0000 0.0000
0.0000 4.4360 0.0000
2.2180 2.2180 11.2639
Sc Sr Zr
2 2 4
direct
0.2500 0.7500 0.5000
0.5000 0.5000 0.0000
0.7500 0.2500 0.5000
0.0000 0.0000 0.0000
0.3750 0.3905 0.7500
0.1405 0.6250 0.2500
0.8750 0.8595 0.7500
0.6095 0.1250 0.2500
```

***

[9]
Entry from Alexandria via LeMat-Bulk: crystalline SrZrSc2 at its relaxed geometry (PBE).

Values from the calculation:
energy of formation from the pure elements = 0.268 eV/atom
ΔE to the lowest computed polymorph = 30 kJ/mol of formula units
SG = No. 99
M_tot = 1.277 Bohr magnetons per cell
energy = -5.46 eV/atom
volume = 28.7 Å³ per atom

Structure (POSCAR):
```
SrZrSc2
1.0
3.3769 0.0234 0.0000
-0.0264 3.3769 0.0000
0.0000 0.0000 10.0522
Zr Sc Sr
1 2 1
direct
0.5000 0.5000 0.7912
0.0000 0.0000 0.9912
0.5000 0.5000 0.2113
0.0000 0.0000 0.5063
```

***

[10]
Entry from Alexandria via LeMat-Bulk: crystalline SrZr2Sc at its relaxed geometry (PBE).

Values from the calculation:
energy of formation from the pure elements = 0.446 eV/atom
ΔE to the lowest computed polymorph = 79 kJ/mol of formula units
SG = No. 65
M_tot = 0.000 Bohr magnetons per cell
energy = -5.83 eV/atom
volume = 26.8 Å³ per atom

Structure (POSCAR):
```
SrZr2Sc
1.0
6.0059 -0.0058 0.0000
-2.3918 5.5091 0.0000
0.0000 0.0000 3.2374
Zr Sc Sr
2 1 1
direct
0.0000 0.0000 0.0000
0.5000 0.5000 0.0000
0.5000 0.0000 0.5000
0.0000 0.5000 0.5000
```

***

[11]
Entry from Alexandria via LeMat-Bulk: crystalline SrZr2Sc at its relaxed geometry (PBE).

Values from the calculation:
energy of formation from the pure elements = 0.428 eV/atom
ΔE to the lowest computed polymorph = 72 kJ/mol of formula units
SG = No. 119
M_tot = 0.000 Bohr magnetons per cell
energy = -5.85 eV/atom
volume = 26.9 Å³ per atom

Structure (POSCAR):
```
SrZr2Sc
1.0
-1.9633 4.8080 2.4196
-5.5466 -0.8827 1.1321
4.5799 -3.1814 1.3153
Sr Zr Sc
1 2 1
direct
0.7500 0.2500 0.5000
0.2500 0.7500 0.5000
0.0000 0.0000 0.0000
0.5000 0.5000 0.0000
```

***

[12]
Entry from Alexandria via LeMat-Bulk: crystalline SrZr2Sc at its relaxed geometry (PBE).

Values from the calculation:
energy of formation from the pure elements = 0.293 eV/atom
ΔE to the lowest computed polymorph = 20 kJ/mol of formula units
SG = No. 6
M_tot = 0.000 Bohr magnetons per cell
energy = -5.98 eV/atom
volume = 28.5 Å³ per atom

Structure (POSCAR):
```
SrZr2Sc
1.0
5.0338 0.0000 0.0000
0.0000 3.3023 0.1302
0.0000 1.3716 6.9116
Zr Sc Sr
2 1 1
direct
0.5000 0.4438 0.2347
0.0000 0.0270 0.0690
0.0000 0.3348 0.4572
0.5000 0.6943 0.7391
```

***

[13]
Entry from Alexandria via LeMat-Bulk: crystalline SrZr2Sc at its relaxed geometry (PBE).

Values from the calculation:
energy of formation from the pure elements = 0.443 eV/atom
ΔE to the lowest computed polymorph = 78 kJ/mol of formula units
SG = No. 44
M_tot = 0.000 Bohr magnetons per cell
energy = -5.83 eV/atom
volume = 28.0 Å³ per atom

Structure (POSCAR):
```
SrZr2Sc
1.0
-0.1921 -3.5345 5.6017
-2.9988 -5.9077 -0.1266
4.8418 4.0886 -1.9365
Zr Sr Sc
2 1 1
direct
0.2408 0.7408 0.5000
0.0277 0.0277 0.0000
0.7552 0.2552 0.5000
0.4762 0.4762 0.0000
```

***

[14]
Entry from Alexandria via LeMat-Bulk: crystalline SrZrSc2 at its relaxed geometry (PBE).

Values from the calculation:
energy of formation from the pure elements = 0.397 eV/atom
ΔE to the lowest computed polymorph = 80 kJ/mol of formula units
SG = No. 123
M_tot = 0.000 Bohr magnetons per cell
energy = -5.33 eV/atom
volume = 27.6 Å³ per atom

Structure (POSCAR):
```
SrZrSc2
1.0
5.5232 0.0000 0.0000
0.0000 5.5232 0.0000
0.0000 0.0000 3.6210
Zr Sc Sr
1 2 1
direct
0.0000 0.5000 0.5000
0.0000 0.0000 0.0000
0.5000 0.5000 0.0000
0.5000 0.0000 0.5000
```

***

[15]
Entry from Alexandria via LeMat-Bulk: crystalline SrZrSc2 at its relaxed geometry (PBE).

Values from the calculation:
energy of formation from the pure elements = 0.207 eV/atom
ΔE to the lowest computed polymorph = 6 kJ/mol of formula units
SG = No. 47
M_tot = 0.000 Bohr magnetons per cell
energy = -5.52 eV/atom
volume = 29.4 Å³ per atom

Structure (POSCAR):
```
SrZrSc2
1.0
3.4813 0.0000 0.0000
0.0000 4.2528 0.0000
0.0000 0.0000 7.9403
Sr Zr Sc
1 1 2
direct
0.5000 0.5000 0.2500
0.5000 0.5000 0.7500
0.0000 0.0000 0.9411
0.0000 0.0000 0.5589
```